# 1
Entry from Alexandria: crystalline LaAsRh4 at its relaxed geometry (PBE).

As for the total DFT energy (no corrections): -162.37 eV per cell. The value obtained for the magnetization is 0.000 Bohr magnetons per cell. The value obtained for the formation energy from the elements is -0.2683 eV/atom.

The space group is F-43m (No. 216) and the conventional cell measures 7.533, 7.533 and 7.533 Å, with angles of 90.00, 90.00 and 90.00 degrees. The asymmetric unit holds La at (0.000, 0.000, 0.000), As at (0.250, 0.250, 0.250) and Rh at (0.124, 0.124, 0.624).

# 2
Entry from Alexandria: crystalline LaAsRh2 at its relaxed geometry (PBE).

As for the total DFT energy (no corrections): -26.65 eV per cell. The value obtained for the magnetization is 0.000 Bohr magnetons per cell. The value obtained for the formation energy from the elements is -0.5937 eV/atom.

The space group is P2/m (No. 10) and the conventional cell measures 4.201, 3.838 and 5.559 Å, with angles of 90.00, 90.07 and 90.00 degrees. The asymmetric unit holds La at (0.000, 0.000, 0.000), As at (0.500, 0.000, 0.500) and Rh at (0.500, 0.500, 0.243).

# 3
Entry from Alexandria: crystalline LaAsRh2 at its relaxed geometry (PBE).

As for the total DFT energy (no corrections): -52.62 eV per cell. The value obtained for the magnetization is 0.000 Bohr magnetons per cell. The value obtained for the formation energy from the elements is -0.5069 eV/atom.

The space group is I4/mmm (No. 139) and the conventional cell measures 4.373, 4.373 and 7.816 Å, with angles of 90.00, 90.00 and 90.00 degrees. The asymmetric unit holds La at (0.000, 0.000, 0.000), As at (0.000, 0.000, 0.500) and Rh at (0.000, 0.500, 0.250).

# 4
Entry from Alexandria: crystalline La3AsRh at its relaxed geometry (PBE).

As for the total DFT energy (no corrections): -29.24 eV per cell. The value obtained for the magnetization is 0.000 Bohr magnetons per cell. The value obtained for the formation energy from the elements is -0.4922 eV/atom. Its distance to the lowest polymorph of the same formula is 0 kJ/mol of formula units.

The space group is Pm-3m (No. 221) and the conventional cell measures 5.461, 5.461 and 5.461 Å, with angles of 90.00, 90.00 and 90.00 degrees. The asymmetric unit holds La at (0.000, 0.000, 0.500), As at (0.500, 0.500, 0.500) and Rh at (0.000, 0.000, 0.000).

# 5
Entry from Alexandria: crystalline LaAs2Rh2 at its relaxed geometry (PBE).

As for the total DFT energy (no corrections): -67.69 eV per cell. The value obtained for the magnetization is 0.010 Bohr magnetons per cell. The value obtained for the formation energy from the elements is -0.9826 eV/atom.

The space group is P4/nmm (No. 129, origin choice 2) and the conventional cell measures 4.335, 4.335 and 10.054 Å, with angles of 90.00, 90.00 and 90.00 degrees. The asymmetric unit holds La at (0.250, 0.250, 0.247), As at (0.250, 0.250, 0.636), As at (0.250, 0.750, 0.000), Rh at (0.250, 0.250, 0.880) and Rh at (0.250, 0.750, 0.500).

# 6
Entry from Alexandria: crystalline La2As4RuRh3 at its relaxed geometry (PBE).

As for the total DFT energy (no corrections): -69.20 eV per cell. The value obtained for the magnetization is 0.000 Bohr magnetons per cell. The value obtained for the formation energy from the elements is -0.9414 eV/atom.

The space group is P-4m2 (No. 115) and the conventional cell measures 4.323, 4.323 and 10.066 Å, with angles of 90.00, 90.00 and 90.00 degrees. The asymmetric unit holds La at (0.000, 0.500, 0.244), As at (0.000, 0.000, 0.000), As at (0.000, 0.500, 0.632), As at (0.500, 0.500, 0.000), Ru at (0.000, 0.000, 0.500), Rh at (0.000, 0.500, 0.878) and Rh at (0.500, 0.500, 0.500).

# 7
Entry from Alexandria: crystalline LaAsRhS at its relaxed geometry (PBE).

The uncorrected formation energy is -4.9 eV/f.u. As for the total DFT energy (no corrections): -51.99 eV per cell. The value obtained for the magnetization is 0.000 Bohr magnetons per cell.

The space group is P4/nmm (No. 129, origin choice 2) and the conventional cell measures 4.530, 4.530 and 8.700 Å, with angles of 90.00, 90.00 and 90.00 degrees. The asymmetric unit holds La at (0.250, 0.250, 0.184), As at (0.250, 0.250, 0.626), Rh at (0.250, 0.750, 0.500) and S at (0.250, 0.750, 0.000).

# 8
Entry from Alexandria: crystalline La2SbAs3Rh4 at its relaxed geometry (PBE).

The uncorrected formation energy is -9.2 eV/f.u. As for the total DFT energy (no corrections): -66.48 eV per cell. The value obtained for the magnetization is 0.013 Bohr magnetons per cell.

The space group is P-4m2 (No. 115) and the conventional cell measures 4.359, 4.359 and 10.361 Å, with angles of 90.00, 90.00 and 90.00 degrees. The asymmetric unit holds La at (0.000, 0.500, 0.242), Sb at (0.000, 0.000, 0.500), As at (0.000, 0.500, 0.869), As at (0.500, 0.500, 0.500), Rh at (0.000, 0.000, 0.000), Rh at (0.000, 0.500, 0.633) and Rh at (0.500, 0.500, 0.000).

# 9
Entry from Alexandria: crystalline LaSbAsRh3 at its relaxed geometry (PBE).

The uncorrected formation energy is -4.1 eV/f.u. As for the total DFT energy (no corrections): -159.52 eV per cell. The value obtained for the magnetization is 0.000 Bohr magnetons per cell.

The space group is Cmcm (No. 63) and the conventional cell measures 5.811, 15.981 and 5.707 Å, with angles of 90.00, 90.00 and 90.00 degrees. The asymmetric unit holds La at (0.000, 0.206, 0.250), Sb at (0.000, 0.400, 0.750), As at (0.000, 0.087, 0.750), Rh at (0.000, 0.239, 0.750) and Rh at (0.244, 0.000, 0.000).

# 10
Entry from Alexandria: crystalline La2ScAs3Rh4 at its relaxed geometry (PBE).

As for the total DFT energy (no corrections): -69.78 eV per cell. The value obtained for the magnetization is 0.001 Bohr magnetons per cell. The value obtained for the formation energy from the elements is -1.0244 eV/atom.

The space group is P-4m2 (No. 115) and the conventional cell measures 4.148, 4.148 and 11.181 Å, with angles of 90.00, 90.00 and 90.00 degrees. The asymmetric unit holds La at (0.000, 0.500, 0.235), Sc at (0.000, 0.000, 0.500), As at (0.000, 0.500, 0.870), As at (0.500, 0.500, 0.500), Rh at (0.000, 0.000, 0.000), Rh at (0.000, 0.500, 0.648) and Rh at (0.500, 0.500, 0.000).

# 11
Entry from Alexandria: crystalline LaAsRhSe2 at its relaxed geometry (PBE).

The uncorrected formation energy is -3.5 eV/f.u. As for the total DFT energy (no corrections): -27.37 eV per cell. The value obtained for the magnetization is 0.000 Bohr magnetons per cell. Its distance to the lowest polymorph of the same formula is 0 kJ/mol of formula units.

The space group is P4/mmm (No. 123) and the conventional cell measures 5.105, 5.105 and 4.590 Å, with angles of 90.00, 90.00 and 90.00 degrees. The asymmetric unit holds La at (0.000, 0.000, 0.000), As at (0.500, 0.500, 0.000), Rh at (0.500, 0.500, 0.500) and Se at (0.000, 0.500, 0.500).

# 12
Entry from Alexandria: crystalline LaAsRhSe at its relaxed geometry (PBE).

The uncorrected formation energy is -4.4 eV/f.u. As for the total DFT energy (no corrections): -49.68 eV per cell. The value obtained for the magnetization is 0.000 Bohr magnetons per cell.

The space group is P4/nmm (No. 129, origin choice 2) and the conventional cell measures 4.185, 4.185 and 9.888 Å, with angles of 90.00, 90.00 and 90.00 degrees. The asymmetric unit holds La at (0.250, 0.250, 0.232), As at (0.250, 0.250, 0.643), Rh at (0.250, 0.750, 0.500) and Se at (0.250, 0.750, 0.000).

# 13
Entry from Alexandria: crystalline LaAsRhSe2 at its relaxed geometry (PBE).

The uncorrected formation energy is 3.4 eV/f.u. As for the total DFT energy (no corrections): -20.46 eV per cell. The value obtained for the magnetization is 3.080 Bohr magnetons per cell. Its distance to the lowest polymorph of the same formula is 668 kJ/mol of formula units.

The space group is P4/mmm (No. 123) and the conventional cell measures 5.672, 5.672 and 5.696 Å, with angles of 90.00, 90.00 and 90.00 degrees. The asymmetric unit holds La at (0.000, 0.000, 0.000), As at (0.000, 0.000, 0.500), Rh at (0.500, 0.500, 0.500) and Se at (0.000, 0.500, 0.000).

# 14
Entry from Alexandria: crystalline La2SiAsRh6 at its relaxed geometry (PBE).

The uncorrected formation energy is -7.0 eV/f.u. As for the total DFT energy (no corrections): -141.98 eV per cell. The value obtained for the magnetization is 0.000 Bohr magnetons per cell.

The space group is Pmmn (No. 59, origin choice 2) and the conventional cell measures 5.532, 8.710 and 7.942 Å, with angles of 90.00, 90.00 and 90.00 degrees. The asymmetric unit holds La at (0.250, 0.001, 0.214), Si at (0.250, 0.750, 0.754), As at (0.250, 0.250, 0.752), Rh at (0.001, 0.750, 0.995), Rh at (0.003, 0.250, 0.487) and Rh at (0.250, 0.000, 0.595).

# 15
Entry from Alexandria: crystalline La2SmAs3Rh12 at its relaxed geometry (PBE).

As for the total DFT energy (no corrections): -366.87 eV per cell. The value obtained for the magnetization is 0.000 Bohr magnetons per cell. The value obtained for the formation energy from the elements is -0.3083 eV/atom.

The space group is R-3m (No. 166, hexagonal axes) and the conventional cell measures 9.1578, 9.1578 and 13.1274 Å, with angles of 90.00, 90.00 and 120.00 degrees. The asymmetric unit holds La at (0.0000, 0.0000, 0.1350), Sm at (0.0000, 0.0000, 0.5000), As at (0.0000, 0.5000, 0.0000), Rh at (0.0107, 0.5053, 0.8181) and Rh at (0.0193, 0.5096, 0.3836).

# 16
Entry from Alexandria: crystalline LaSmAs2Rh5 at its relaxed geometry (PBE).

As for the total DFT energy (no corrections): -60.99 eV per cell. The value obtained for the magnetization is 0.000 Bohr magnetons per cell. The value obtained for the formation energy from the elements is -0.5878 eV/atom.

The space group is P4/mmm (No. 123) and the conventional cell measures 4.086, 4.086 and 11.454 Å, with angles of 90.00, 90.00 and 90.00 degrees. The asymmetric unit holds La at (0.000, 0.000, 0.000), Sm at (0.000, 0.000, 0.500), As at (0.500, 0.500, 0.209), Rh at (0.000, 0.500, 0.315) and Rh at (0.500, 0.500, 0.000).

# 17
Entry from Alexandria: crystalline La2SmAs4Rh3 at its relaxed geometry (PBE).

As for the total DFT energy (no corrections): -65.32 eV per cell. The value obtained for the magnetization is 0.000 Bohr magnetons per cell. The value obtained for the formation energy from the elements is -1.0095 eV/atom.

The space group is P-4m2 (No. 115) and the conventional cell measures 4.388, 4.388 and 11.010 Å, with angles of 90.00, 90.00 and 90.00 degrees. The asymmetric unit holds La at (0.000, 0.500, 0.219), Sm at (0.000, 0.000, 0.500), As at (0.000, 0.000, 0.000), As at (0.000, 0.500, 0.667), As at (0.500, 0.500, 0.000), Rh at (0.000, 0.500, 0.894) and Rh at (0.500, 0.500, 0.500).

# 18
Entry from Alexandria: crystalline LaSnAs2Rh5 at its relaxed geometry (PBE).

As for the total DFT energy (no corrections): -60.20 eV per cell. The value obtained for the magnetization is 0.000 Bohr magnetons per cell. The value obtained for the formation energy from the elements is -0.5798 eV/atom.

The space group is P4/mmm (No. 123) and the conventional cell measures 4.137, 4.137 and 10.569 Å, with angles of 90.00, 90.00 and 90.00 degrees. The asymmetric unit holds La at (0.000, 0.000, 0.000), Sn at (0.000, 0.000, 0.500), As at (0.500, 0.500, 0.226), Rh at (0.000, 0.500, 0.340) and Rh at (0.500, 0.500, 0.000).

# 19
Entry from Alexandria: crystalline La2SnAs3Rh4 at its relaxed geometry (PBE).

As for the total DFT energy (no corrections): -66.24 eV per cell. The value obtained for the magnetization is 0.000 Bohr magnetons per cell. The value obtained for the formation energy from the elements is -0.9031 eV/atom.

The space group is P-4m2 (No. 115) and the conventional cell measures 4.256, 4.256 and 10.811 Å, with angles of 90.00, 90.00 and 90.00 degrees. The asymmetric unit holds La at (0.000, 0.500, 0.242), Sn at (0.000, 0.000, 0.500), As at (0.000, 0.500, 0.870), As at (0.500, 0.500, 0.500), Rh at (0.000, 0.000, 0.000), Rh at (0.000, 0.500, 0.645) and Rh at (0.500, 0.500, 0.000).

# 20
Entry from Alexandria: crystalline La2Sn3AsRh4 at its relaxed geometry (PBE).

As for the total DFT energy (no corrections): -63.73 eV per cell. The value obtained for the magnetization is 0.000 Bohr magnetons per cell. The value obtained for the formation energy from the elements is -0.7807 eV/atom.

The space group is P-4m2 (No. 115) and the conventional cell measures 4.502, 4.502 and 10.613 Å, with angles of 90.00, 90.00 and 90.00 degrees. The asymmetric unit holds La at (0.000, 0.500, 0.240), Sn at (0.000, 0.000, 0.000), Sn at (0.000, 0.500, 0.632), As at (0.500, 0.500, 0.000), Rh at (0.000, 0.000, 0.500), Rh at (0.000, 0.500, 0.879) and Rh at (0.500, 0.500, 0.500).

# 21
Entry from Alexandria: crystalline LaSn2As2Rh7 at its relaxed geometry (PBE).

As for the total DFT energy (no corrections): -154.01 eV per cell. The value obtained for the magnetization is 0.000 Bohr magnetons per cell. The value obtained for the formation energy from the elements is -0.2759 eV/atom.

The space group is C2/m (No. 12) and the conventional cell measures 5.592, 5.567 and 14.627 Å, with angles of 90.00, 97.85 and 90.00 degrees. The asymmetric unit holds La at (0.000, 0.000, 0.000), Sn at (0.120, 0.000, 0.401), As at (0.088, 0.500, 0.254), Rh at (0.000, 0.500, 0.000), Rh at (0.133, 0.500, 0.423) and Rh at (0.197, 0.250, 0.844).

# 22
Entry from Alexandria: crystalline SrLa2AsRh at its relaxed geometry (PBE).

As for the total DFT energy (no corrections): -17.74 eV per cell. The value obtained for the magnetization is 1.003 Bohr magnetons per cell. The value obtained for the formation energy from the elements is 1.1603 eV/atom.

The space group is P4/mmm (No. 123) and the conventional cell measures 5.793, 5.793 and 5.238 Å, with angles of 90.00, 90.00 and 90.00 degrees. The asymmetric unit holds Sr at (0.000, 0.000, 0.000), La at (0.000, 0.500, 0.000), As at (0.000, 0.000, 0.500) and Rh at (0.500, 0.500, 0.500).

# 23
Entry from Alexandria: crystalline La2TaAs4Rh3 at its relaxed geometry (PBE).

As for the total DFT energy (no corrections): -71.21 eV per cell. The value obtained for the magnetization is 0.005 Bohr magnetons per cell. The value obtained for the formation energy from the elements is -0.8852 eV/atom.

The space group is P-4m2 (No. 115) and the conventional cell measures 4.335, 4.335 and 10.390 Å, with angles of 90.00, 90.00 and 90.00 degrees. The asymmetric unit holds La at (0.000, 0.500, 0.233), Ta at (0.000, 0.000, 0.500), As at (0.000, 0.000, 0.000), As at (0.000, 0.500, 0.641), As at (0.500, 0.500, 0.000), Rh at (0.000, 0.500, 0.882) and Rh at (0.500, 0.500, 0.500).